Entry from the Alexandria database: KMn2IO after structural relaxation (PBE+U).

The density of states at the Fermi level comes out at 0.57 states/eV/atom. For the total energy, the calculation gives -18.69 eV for the cell shown.

The structure belongs to space group P4/mmm (No. 123); the cell edges are 6.321, 6.321 and 4.469 Å and the angles 90.00°, 90.00° and 90.00°. The distinct sites, in fractional coordinates, are K at (0.000, 0.000, 0.000), Mn at (0.000, 0.500, 0.000), I at (0.500, 0.500, 0.500) and O at (0.000, 0.000, 0.500).